1.
The following is a SCAN calculation of a crystal of LiCrPt2 relaxed with PBEsol, from the Alexandria database.

Unit cell a=4.4556 b=4.4556 c=4.4556 alpha=128.21 beta=128.21 gamma=76.29
Atoms (fractional coordinates):
Li 0.0000 0.0000 0.0000
Cr 0.5000 0.5000 0.0000
Pt 0.2500 0.7500 0.5000
Pt 0.7500 0.2500 0.5000

Properties
Its volume is 53.07 Å³ per cell. The formation energy from the elements comes out at -0.607 eV per atom. Its symmetry is No. 139.

2.
The following is a SCAN calculation of a crystal of La2MnCd relaxed with PBEsol, from the Alexandria database.

Unit cell a=5.3830 b=5.3830 c=3.6667 alpha=90.00 beta=90.00 gamma=90.00
Atoms (fractional coordinates):
La 0.0000 0.5000 0.0000
La 0.5000 0.0000 0.0000
Mn 0.0000 0.0000 0.5000
Cd 0.5000 0.5000 0.5000

Properties
Its volume is 106.25 Å³ per cell. The formation energy from the elements comes out at -0.201 eV per atom. Its symmetry is No. 123.

3.
The following is a SCAN calculation of a crystal of Nb8PtSe20 relaxed with PBEsol, from the Alexandria database.

Unit cell a=10.2522 b=10.2522 c=19.1667 alpha=106.25 beta=106.25 gamma=19.07
Atoms (fractional coordinates):
Nb 0.0776 0.0776 0.4116
Nb 0.1507 0.1507 0.9438
Nb 0.2672 0.2672 0.2202
Nb 0.3296 0.3296 0.6875
Nb 0.6704 0.6704 0.3125
Nb 0.7328 0.7328 0.7798
Nb 0.8493 0.8493 0.0562
Nb 0.9224 0.9224 0.5884
Pt 0.5000 0.5000 0.5000
Se 0.0695 0.0695 0.2727
Se 0.1396 0.1396 0.8008
Se 0.1986 0.1986 0.6731
Se 0.2073 0.2073 0.4175
Se 0.2543 0.2543 0.0729
Se 0.3338 0.3338 0.8252
Se 0.3762 0.3762 0.4835
Se 0.4046 0.4046 0.9828
Se 0.4497 0.4497 0.1128
Se 0.4771 0.4771 0.3675
Se 0.5229 0.5229 0.6325
Se 0.5503 0.5503 0.8872
Se 0.5954 0.5954 0.0172
Se 0.6238 0.6238 0.5165
Se 0.6662 0.6662 0.1748
Se 0.7457 0.7457 0.9271
Se 0.7927 0.7927 0.5825
Se 0.8014 0.8014 0.3269
Se 0.8604 0.8604 0.1992
Se 0.9305 0.9305 0.7273

Properties
Its volume is 631.07 Å³ per cell. The value obtained for the formation energy without anion corrections is -0.830 eV/atom. Its symmetry is No. 12.

4.
The following is a SCAN calculation of a crystal of CoMo2 relaxed with PBEsol, from the Alexandria database.

Unit cell a=6.1782 b=6.1782 c=6.1782 alpha=155.56 beta=155.56 gamma=34.84
Atoms (fractional coordinates):
Co 0.0000 0.0000 0.0000
Mo 0.3471 0.3471 0.0000
Mo 0.6529 0.6529 0.0000

Properties
Its volume is 40.34 Å³ per cell. The formation energy from the elements comes out at 0.168 eV per atom. Its symmetry is No. 139.

5.
The following is a SCAN calculation of a crystal of AlFeS2N relaxed with PBEsol, from the Alexandria database.

Unit cell a=4.6761 b=4.6761 c=3.5509 alpha=90.00 beta=90.00 gamma=90.00
Atoms (fractional coordinates):
Al 0.0000 0.0000 0.0000
Fe 0.5000 0.5000 0.5000
S 0.0000 0.5000 0.0000
S 0.5000 0.0000 0.0000
N 0.0000 0.0000 0.5000

Properties
Its volume is 77.64 Å³ per cell. The value obtained for the formation energy without anion corrections is 0.268 eV/atom. Its symmetry is No. 123.

6.
The following is a SCAN calculation of a crystal of Mn2ZnOs relaxed with PBEsol, from the Alexandria database.

Unit cell a=4.4943 b=4.4943 c=4.4237 alpha=101.81 beta=101.81 gamma=34.57
Atoms (fractional coordinates):
Mn 0.0000 0.0000 0.0000
Mn 0.7429 0.7429 0.2634
Zn 0.4971 0.4971 0.4931
Os 0.2565 0.2565 0.7758

Properties
Its volume is 49.52 Å³ per cell. The formation energy from the elements comes out at -0.017 eV per atom. Its symmetry is No. 8.

7.
The following is a SCAN calculation of a crystal of AgOsBr relaxed with PBEsol, from the Alexandria database.

Unit cell a=7.4862 b=7.1595 c=2.9762 alpha=84.52 beta=72.17 gamma=23.31
Atoms (fractional coordinates):
Ag 0.0000 0.0000 0.0000
Os 0.3350 0.3350 0.6650
Br 0.6884 0.6884 0.3116

Properties
Its volume is 52.30 Å³ per cell. The value obtained for the formation energy without anion corrections is 1.075 eV/atom. Its symmetry is No. 42.

8.
The following is a SCAN calculation of a crystal of KYRe relaxed with PBEsol, from the Alexandria database.

Unit cell a=4.8173 b=4.8173 c=4.8173 alpha=60.00 beta=60.00 gamma=60.00
Atoms (fractional coordinates):
K 0.0000 0.0000 0.0000
Y 0.7500 0.7500 0.7500
Re 0.2500 0.2500 0.2500

Properties
Its volume is 79.05 Å³ per cell. The formation energy from the elements comes out at 2.198 eV per atom. Its symmetry is No. 216.